1.
Here is a PBEsol-optimized structure of ReGeS2N from Alexandria. Energies are from SCAN.

abc: 4.736 4.736 3.392
angles: 90.00 90.00 90.00
Space group P4/mmm (No. 123)
Inequivalent atoms, fractional coordinates:
Re 0.000 0.000 0.000 (multiplicity 1)
Ge 0.500 0.500 0.500 (multiplicity 1)
S 0.000 0.500 0.500 (multiplicity 2)
N 0.500 0.500 0.000 (multiplicity 1)

Properties
The value obtained for the density of states at the Fermi level is 2.15 states/eV/f.u. For the uncorrected formation energy, the calculation gives 1.4070 eV per atom.


2.
Here is a PBEsol-optimized structure of Ge3RhN from Alexandria. Energies are from SCAN.

abc: 4.615 4.615 4.615
angles: 90.00 90.00 90.00
Space group Pm-3m (No. 221)
Inequivalent atoms, fractional coordinates:
Ge 0.000 0.000 0.500 (multiplicity 3)
Rh 0.000 0.000 0.000 (multiplicity 1)
N 0.500 0.500 0.500 (multiplicity 1)

Properties
The value obtained for the density of states at the Fermi level is 2.22 states/eV/f.u. For the uncorrected formation energy, the calculation gives 1.0370 eV per atom.


3.
Here is a PBEsol-optimized structure of GeRh2SN from Alexandria. Energies are from SCAN.

abc: 4.540 4.540 3.325
angles: 90.00 90.00 90.00
Space group P4/mmm (No. 123)
Inequivalent atoms, fractional coordinates:
Ge 0.000 0.000 0.000 (multiplicity 1)
Rh 0.000 0.500 0.500 (multiplicity 2)
S 0.500 0.500 0.500 (multiplicity 1)
N 0.500 0.500 0.000 (multiplicity 1)

Properties
The value obtained for the density of states at the Fermi level is 4.49 states/eV/f.u. For the uncorrected formation energy, the calculation gives 0.7505 eV per atom.


4.
Here is a PBEsol-optimized structure of GeRhSeN2 from Alexandria. Energies are from SCAN.

abc: 3.576 3.576 6.179
angles: 90.00 90.00 90.00
Space group P4/mmm (No. 123)
Inequivalent atoms, fractional coordinates:
Ge 0.000 0.000 0.000 (multiplicity 1)
Rh 0.500 0.500 0.500 (multiplicity 1)
Se 0.000 0.000 0.500 (multiplicity 1)
N 0.000 0.500 0.000 (multiplicity 2)

Properties
The value obtained for the density of states at the Fermi level is 2.81 states/eV/f.u. For the uncorrected formation energy, the calculation gives 1.2602 eV per atom.


5.
Here is a PBEsol-optimized structure of GeRhSe2N from Alexandria. Energies are from SCAN.

abc: 5.058 5.058 3.593
angles: 90.00 90.00 90.00
Space group P4/mmm (No. 123)
Inequivalent atoms, fractional coordinates:
Ge 0.000 0.000 0.000 (multiplicity 1)
Rh 0.500 0.500 0.500 (multiplicity 1)
Se 0.000 0.500 0.500 (multiplicity 2)
N 0.500 0.500 0.000 (multiplicity 1)

Properties
The value obtained for the density of states at the Fermi level is 3.30 states/eV/f.u. For the uncorrected formation energy, the calculation gives 0.4096 eV per atom.


6.
Here is a PBEsol-optimized structure of GeRuSe2N from Alexandria. Energies are from SCAN.

abc: 5.023 5.023 3.607
angles: 90.00 90.00 90.00
Space group P4/mmm (No. 123)
Inequivalent atoms, fractional coordinates:
Ge 0.000 0.000 0.000 (multiplicity 1)
Ru 0.500 0.500 0.500 (multiplicity 1)
Se 0.000 0.500 0.500 (multiplicity 2)
N 0.500 0.500 0.000 (multiplicity 1)

Properties
The value obtained for the density of states at the Fermi level is 3.10 states/eV/f.u. For the uncorrected formation energy, the calculation gives 0.3612 eV per atom.


7.
Here is a PBEsol-optimized structure of GeSN2 from Alexandria. Energies are from SCAN.

abc: 5.155 5.155 7.307
angles: 90.00 90.00 90.00
Space group I-42d (No. 122)
Inequivalent atoms, fractional coordinates:
Ge 0.000 0.000 0.000 (multiplicity 4)
S 0.000 0.000 0.500 (multiplicity 4)
N 0.195 0.750 0.125 (multiplicity 8)

Properties
The value obtained for the density of states at the Fermi level is 0.48 states/eV/f.u. For the uncorrected formation energy, the calculation gives 1.0411 eV per atom.


8.
Here is a PBEsol-optimized structure of Ge2SN from Alexandria. Energies are from SCAN.

abc: 6.039 6.039 6.039
angles: 90.00 90.00 90.00
Space group Fm-3m (No. 225)
Inequivalent atoms, fractional coordinates:
Ge 0.250 0.250 0.250 (multiplicity 8)
S 0.000 0.000 0.000 (multiplicity 4)
N 0.000 0.000 0.500 (multiplicity 4)

Properties
The value obtained for the density of states at the Fermi level is 1.43 states/eV/f.u. For the uncorrected formation energy, the calculation gives 1.1098 eV per atom.


9.
Here is a PBEsol-optimized structure of ScGeS2N from Alexandria. Energies are from SCAN.

abc: 4.466 4.466 5.286
angles: 90.00 90.00 90.00
Space group P4/mmm (No. 123)
Inequivalent atoms, fractional coordinates:
Sc 0.000 0.000 0.000 (multiplicity 1)
Ge 0.000 0.000 0.500 (multiplicity 1)
S 0.000 0.500 0.500 (multiplicity 2)
N 0.500 0.500 0.000 (multiplicity 1)

Properties
The value obtained for the density of states at the Fermi level is 3.34 states/eV/f.u. For the uncorrected formation energy, the calculation gives 1.0120 eV per atom.


10.
Here is a PBEsol-optimized structure of GeSeS2N from Alexandria. Energies are from SCAN.

abc: 4.849 4.849 3.685
angles: 90.00 90.00 90.00
Space group P4/mmm (No. 123)
Inequivalent atoms, fractional coordinates:
Ge 0.000 0.000 0.000 (multiplicity 1)
Se 0.500 0.500 0.500 (multiplicity 1)
S 0.000 0.500 0.500 (multiplicity 2)
N 0.500 0.500 0.000 (multiplicity 1)

Properties
The value obtained for the density of states at the Fermi level is 1.49 states/eV/f.u. For the uncorrected formation energy, the calculation gives 0.9869 eV per atom.


11.
Here is a PBEsol-optimized structure of SiGeS2N from Alexandria. Energies are from SCAN.

abc: 4.743 4.743 3.598
angles: 90.00 90.00 90.00
Space group P4/mmm (No. 123)
Inequivalent atoms, fractional coordinates:
Si 0.000 0.000 0.000 (multiplicity 1)
Ge 0.500 0.500 0.500 (multiplicity 1)
S 0.000 0.500 0.500 (multiplicity 2)
N 0.500 0.500 0.000 (multiplicity 1)

Properties
The value obtained for the density of states at the Fermi level is 1.41 states/eV/f.u. For the uncorrected formation energy, the calculation gives 0.8370 eV per atom.


12.
Here is a PBEsol-optimized structure of SnGeS2N from Alexandria. Energies are from SCAN.

abc: 4.841 4.841 3.677
angles: 90.00 90.00 90.00
Space group P4/mmm (No. 123)
Inequivalent atoms, fractional coordinates:
Sn 0.000 0.000 0.000 (multiplicity 1)
Ge 0.500 0.500 0.500 (multiplicity 1)
S 0.000 0.500 0.500 (multiplicity 2)
N 0.500 0.500 0.000 (multiplicity 1)

Properties
The value obtained for the density of states at the Fermi level is 1.68 states/eV/f.u. For the uncorrected formation energy, the calculation gives 0.4202 eV per atom.